Below is a relaxed Ba2YTe crystal, with properties calculated at the PBE level.

Lattice parameters (Å, degrees): 5.237 4.663 7.332 71.47 90.00 90.00
Fractional coordinates of all 4 atoms:
Ba 0.000 0.973 0.928
Ba 0.500 0.274 0.326
Te 0.000 0.687 0.500
Y 0.500 0.565 0.745

For the volume, the calculation gives 42.44 Å³/atom. The uncorrected formation energy comes out at -0.573 eV per atom. Its total magnetization is 0.00 Bohr magnetons per cell.


Below is a relaxed HgOF2 crystal, with properties calculated at the PBE level.

Lattice parameters (Å, degrees): 3.987 3.987 7.836 75.26 75.26 90.00
Each line ends with the local moment (μB).
Fractional coordinates of all 8 atoms:
Hg 0.000 0.000 0.000  0.01
Hg 0.750 0.250 0.500  0.01
O 0.500 0.500 0.000  1.36
O 0.250 0.750 0.500  1.35
F 0.645 0.125 0.250  0.19
F 0.105 0.625 0.250  0.19
F 0.375 0.355 0.750  0.18
F 0.875 0.895 0.750  0.18

For the volume, the calculation gives 14.53 Å³/atom. The uncorrected formation energy comes out at -0.215 eV per atom. The energy relative to the lowest polymorph listed for this composition is 0.8075 eV/atom. Its total magnetization is 4.00 Bohr magnetons per cell.


Below is a relaxed Rb2InPbBr6 crystal, with properties calculated at the PBE level.

Lattice parameters (Å, degrees): 8.292 8.292 8.292 120.06 120.06 89.94
Fractional coordinates of all 10 atoms:
Rb 0.787 0.287 0.575
Rb 0.287 0.788 0.575
In 0.996 0.996 0.991
Pb 0.496 0.497 0.992
Br 0.742 0.743 0.974
Br 0.749 0.750 0.497
Br 0.231 0.231 0.971
Br 0.742 0.232 0.973
Br 0.237 0.238 0.475
Br 0.232 0.742 0.973

For the volume, the calculation gives 40.26 Å³/atom. The uncorrected formation energy comes out at -1.169 eV per atom. Its total magnetization is 0.00 Bohr magnetons per cell.


Below is a relaxed Ho2Ga4AgPt3 crystal, with properties calculated at the PBE level.

Lattice parameters (Å, degrees): 4.164 4.164 10.940 90.00 90.00 90.00
Fractional coordinates of all 10 atoms:
Ho 0.500 0.000 0.239
Ho 0.000 0.500 0.761
Ga 0.500 0.500 0.000
Ga 0.000 0.000 0.000
Ga 0.500 0.000 0.639
Ga 0.000 0.500 0.361
Ag 0.500 0.500 0.500
Pt 0.000 0.000 0.500
Pt 0.500 0.000 0.863
Pt 0.000 0.500 0.137

For the volume, the calculation gives 18.97 Å³/atom. Its total magnetization is 0.00 Bohr magnetons per cell. For the formation energy, the calculation gives -805 meV per atom.


Below is a relaxed CuTeIr crystal, with properties calculated at the PBE level.

Lattice parameters (Å, degrees): 3.776 3.776 4.837 90.00 90.00 120.00
Fractional coordinates of all 3 atoms:
Cu 0.000 0.000 0.049
Ir 0.667 0.333 0.331
Te 0.333 0.667 0.621

For the volume, the calculation gives 19.91 Å³/atom. The uncorrected formation energy comes out at 0.366 eV per atom. The energy relative to the lowest polymorph listed for this composition is 0.2321 eV/atom. Its total magnetization is 0.00 Bohr magnetons per cell.


Below is a relaxed HfNpReTc crystal, with properties calculated at the PBE level.

Lattice parameters (Å, degrees): 4.690 4.690 4.690 60.00 60.00 60.00
Each line ends with the local moment (μB).
Fractional coordinates of all 4 atoms:
Np 0.750 0.750 0.750  3.08
Re 0.000 0.000 0.000  -0.17
Hf 0.250 0.250 0.250  0.05
Tc 0.500 0.500 0.500  -0.18

For the volume, the calculation gives 18.24 Å³/atom. Its total magnetization is 2.95 Bohr magnetons per cell. For the formation energy, the calculation gives -52 meV per atom.